Entry 1:
# ZrCd2AsCl

ZrCd2AsCl at its PBEsol-relaxed geometry (SCAN, Alexandria via LeMat-Bulk).

Results
total DFT energy (no corrections)	-119.1	eV per cell
symmetry	P4/mmm, No. 123

extended XYZ file:
```
5
Lattice="-0.8011 4.3673 2.4850 -4.6742 -1.6114 1.3251 1.9243 -2.0742 4.2656" Properties=species:S:1:pos:R:3 pbc="T T T"
Cl -1.7755 0.3409 4.0379
As 0.0000 0.0000 0.0000
Zr -0.4006 2.1837 1.2425
Cd 0.9621 -1.0371 2.1328
Cd -2.3371 -0.8057 0.6625
```

---

Entry 2:
# CdCoAs2

CdCoAs2 at its PBEsol-relaxed geometry (SCAN, Alexandria via LeMat-Bulk).

Results
formation energy from the elements	415	meV/atom
symmetry	I4/mmm, No. 139

extended XYZ file:
```
4
Lattice="-0.2916 2.2719 -3.6088 -3.8462 -0.3451 2.6249 -1.1416 3.4436 2.2602" Properties=species:S:1:pos:R:3 pbc="T T T"
Cd -0.7166 2.8578 -0.6743
As -2.9980 4.1141 0.3010
As -2.2814 1.2563 0.9753
Co 0.0000 0.0000 0.0000
```

---

Entry 3:
# CdCoAs2

CdCoAs2 at its PBEsol-relaxed geometry (SCAN, Alexandria via LeMat-Bulk).

Results
formation energy from the elements	417	meV/atom
symmetry	I-4m2, No. 119

extended XYZ file:
```
4
Lattice="-1.4021 -3.6682 0.1531 3.6543 -1.4101 -0.3202 -0.7470 2.5694 4.2779" Properties=species:S:1:pos:R:3 pbc="T T T"
As 0.0000 0.0000 0.0000
As -0.5115 -1.8190 2.1738
Cd 1.1261 -2.5392 -0.0835
Co 2.0167 -0.6900 1.9371
```

---

Entry 4:
# CdCoAs

CdCoAs at its PBEsol-relaxed geometry (SCAN, Alexandria via LeMat-Bulk).

Results
formation energy from the elements	187	meV/atom
symmetry	F-43m, No. 216

extended XYZ file:
```
3
Lattice="-1.3915 -3.6304 -1.4081 0.7313 -3.4640 2.1367 -3.1008 -1.9217 1.9471" Properties=species:S:1:pos:R:3 pbc="T T T"
Cd -1.8805 -4.5080 1.3378
As 0.0000 0.0000 0.0000
Co -0.9403 -2.2540 0.6689
```

---

Entry 5:
# Cd2CoAs

Cd2CoAs at its PBEsol-relaxed geometry (SCAN, Alexandria via LeMat-Bulk).

Results
formation energy from the elements	266	meV/atom
symmetry	I4/mmm, No. 139

extended XYZ file:
```
4
Lattice="3.9166 0.0000 0.0000 0.0000 3.9166 0.0000 -1.9583 -1.9583 4.3521" Properties=species:S:1:pos:R:3 pbc="T T T"
Cd 1.9583 0.0000 2.1760
Cd 0.0000 1.9583 2.1760
As 1.9583 1.9583 0.0000
Co 0.0000 0.0000 0.0000
```

---

Entry 6:
# Cd2CoAs

Cd2CoAs at its PBEsol-relaxed geometry (SCAN, Alexandria via LeMat-Bulk).

Results
formation energy from the elements	279	meV/atom
symmetry	Cmmm, No. 65

extended XYZ file:
```
4
Lattice="3.1384 0.0000 0.0000 0.0000 4.8742 0.0252 0.0000 -1.9511 4.4667" Properties=species:S:1:pos:R:3 pbc="T T T"
As 1.5692 1.4615 2.2460
Cd 0.0000 -0.9755 2.2334
Cd 0.0000 2.4371 0.0126
Co 1.5692 0.0000 0.0000
```

---

Entry 7:
# Cd2CoAs

Cd2CoAs at its PBEsol-relaxed geometry (SCAN, Alexandria via LeMat-Bulk).

Results
formation energy from the elements	89	meV/atom
symmetry	R3m, No. 160

extended XYZ file:
```
4
Lattice="-0.9701 0.7210 2.8121 1.2585 -1.3448 2.4448 5.9803 6.0651 2.1738" Properties=species:S:1:pos:R:3 pbc="T T T"
Cd 4.4712 3.8355 5.5565
Cd 0.3293 -0.5801 5.2599
Co 2.9771 2.5531 3.7041
As 1.9138 1.7298 1.8825
```

---

Entry 8:
# CdCoAs2

CdCoAs2 at its PBEsol-relaxed geometry (SCAN, Alexandria via LeMat-Bulk).

Results
formation energy from the elements	132	meV/atom
symmetry	Pmm2, No. 25

extended XYZ file:
```
4
Lattice="3.0029 0.0000 0.0000 0.0000 3.0129 0.0000 0.0000 0.0000 7.9117" Properties=species:S:1:pos:R:3 pbc="T T T"
Co 1.5014 1.5065 7.5020
As 0.0000 0.0000 6.5376
As 1.5014 1.5065 1.8682
Cd 0.0000 0.0000 3.8716
```

---

Entry 9:
# CdCo2AsS

CdCo2AsS at its PBEsol-relaxed geometry (SCAN, Alexandria via LeMat-Bulk).

Results
total DFT energy (no corrections)	-92.1	eV per cell
symmetry	P4/mmm, No. 123

extended XYZ file:
```
5
Lattice="-2.8383 1.0084 3.0531 -2.8283 -2.7201 -1.7309 1.7682 -3.6522 2.8500" Properties=species:S:1:pos:R:3 pbc="T T T"
S 0.8841 -1.8261 1.4250
As 0.0000 0.0000 0.0000
Co -1.4142 -1.3600 -0.8655
Co -1.4192 0.5042 1.5265
Cd -1.9492 -2.6819 2.0861
```

---

Entry 10:
# CdCoAsSe2

CdCoAsSe2 at its PBEsol-relaxed geometry (SCAN, Alexandria via LeMat-Bulk).

Results
total DFT energy (no corrections)	-102.2	eV per cell
symmetry	P4/mmm, No. 123

extended XYZ file:
```
5
Lattice="-2.7373 -2.0721 -3.5822 -1.0592 -3.9327 3.0842 -4.1273 2.4663 1.7273" Properties=species:S:1:pos:R:3 pbc="T T T"
Cd 0.0000 0.0000 0.0000
Se -0.5296 -1.9663 1.5421
Se -2.0637 1.2331 0.8636
As -1.3687 -1.0360 -1.7911
Co -3.9619 -1.7693 0.6147
```

---

Entry 11:
# CdCoAs2Se

CdCoAs2Se at its PBEsol-relaxed geometry (SCAN, Alexandria via LeMat-Bulk).

Results
total DFT energy (no corrections)	-101.9	eV per cell
symmetry	P4/mmm, No. 123

extended XYZ file:
```
5
Lattice="-3.7660 2.2057 2.4236 -2.7702 -4.1152 -0.5594 1.7963 -1.8129 4.4410" Properties=species:S:1:pos:R:3 pbc="T T T"
Co -2.3699 -1.8612 3.1526
Se 0.8981 -0.9064 2.2205
Cd 0.0000 0.0000 0.0000
As -1.3851 -2.0576 -0.2797
As -1.8830 1.1028 1.2118
```

---

Entry 12:
# Cr2CdInAs

Cr2CdInAs at its PBEsol-relaxed geometry (SCAN, Alexandria via LeMat-Bulk).

Results
formation energy from the elements	977	meV/atom
symmetry	P4/mmm, No. 123

extended XYZ file:
```
5
Lattice="5.0581 0.0000 0.0000 0.0000 5.1001 0.0000 0.0000 0.0000 5.1001" Properties=species:S:1:pos:R:3 pbc="T T T"
As 2.5290 0.0000 0.0000
In 0.0000 0.0000 0.0000
Cd 2.5290 2.5500 2.5500
Cr 0.0000 2.5500 0.0000
Cr 0.0000 0.0000 2.5500
```

---

Results for magnetic moment: 0.00, 1.35, 1.59, 1.30, 1.64, 1.41, 0.00, 0.00, 2.71, 1.73, 3.39, 8.72 (in μB/f.u., following the order of the records).